18
Lattice="2.246 -9.261 0.000 2.246 9.261 0.000 0.000 0.000 12.756" Properties=species:S:1:pos:R:3 comment="PBE-GGA Sr2TlTeSe5, relaxed" total_energy_ev_per_atom=-3.8360 n_ef_per_ev_cell=2.076 magnetic_moment_mub_per_fu=0.000 e_form_raw_ev_per_fu=-8.2 pbc="T T T"
Sr 2.246 7.316 6.378
Sr 2.246 6.830 1.566
Sr 2.246 -6.830 7.944
Sr 2.246 -7.316 0.000
Tl 2.246 1.234 3.293
Tl 2.246 -1.234 9.671
Te 2.246 5.148 10.768
Te 2.246 -5.148 4.390
Se 2.246 8.272 11.243
Se 2.246 4.190 5.914
Se 2.246 3.582 1.840
Se 2.246 2.567 10.324
Se 2.246 0.224 7.405
Se 2.246 -0.224 1.027
Se 2.246 -2.567 3.946
Se 2.246 -3.582 8.218
Se 2.246 -4.190 12.292
Se 2.246 -8.272 4.865